Record 1
InMo2Ir at its PBEsol-relaxed geometry, computed with meta-GGA SCAN.

Properties
* energy: -173.90 eV for the cell shown
* E_form: 0.4 eV per formula unit
* space-group type: Pmm2, No. 25
* density of states at the Fermi level: 2.10 states/eV/cell

a = 2.817 Å, b = 4.510 Å, c = 4.989 Å
α = 90.00°, β = 90.00°, γ = 90.00°
Element x y z (fractional)
1 In 0.000 0.000 0.000
2 Mo 0.500 0.000 0.503
3 Mo 0.500 0.500 0.789
4 Ir 0.000 0.500 0.311

---

Record 2
InMo2Ir at its PBEsol-relaxed geometry, computed with meta-GGA SCAN.

Properties
* energy: -173.20 eV for the cell shown
* E_form: 1.1 eV per formula unit
* space-group type: P4/mmm, No. 123
* density of states at the Fermi level: 3.20 states/eV/cell

a = 3.412 Å, b = 3.412 Å, c = 5.722 Å
α = 90.00°, β = 90.00°, γ = 90.00°
Element x y z (fractional)
1 In 0.000 0.000 0.000
2 Mo 0.500 0.500 0.290
3 Mo 0.500 0.500 0.710
4 Ir 0.000 0.000 0.500

---

Record 3
InMo3Ir at its PBEsol-relaxed geometry, computed with meta-GGA SCAN.

Properties
* energy: -202.34 eV for the cell shown
* E_form: 6.8 eV per formula unit
* space-group type: Pm-3m, No. 221
* density of states at the Fermi level: 4.44 states/eV/cell

a = 4.705 Å, b = 4.705 Å, c = 4.705 Å
α = 90.00°, β = 90.00°, γ = 90.00°
Element x y z (fractional)
1 In 0.000 0.000 0.000
2 Mo 0.000 0.500 0.500
3 Mo 0.500 0.000 0.500
4 Mo 0.500 0.500 0.000
5 Ir 0.500 0.500 0.500

---

Record 4
InMoIr2 at its PBEsol-relaxed geometry, computed with meta-GGA SCAN.

Properties
* energy: -210.21 eV for the cell shown
* E_form: 0.3 eV per formula unit
* space-group type: Pmm2, No. 25
* density of states at the Fermi level: 3.64 states/eV/cell

a = 2.833 Å, b = 4.003 Å, c = 5.550 Å
α = 90.00°, β = 90.00°, γ = 90.00°
Element x y z (fractional)
1 In 0.000 0.000 0.000
2 Mo 0.500 0.500 0.696
3 Ir 0.000 0.000 0.507
4 Ir 0.500 0.500 0.223

---

Record 5
InMo2Ir at its PBEsol-relaxed geometry, computed with meta-GGA SCAN.

Properties
* energy: -174.00 eV for the cell shown
* E_form: 0.3 eV per formula unit
* space-group type: Pmmm, No. 47
* density of states at the Fermi level: 3.13 states/eV/cell

a = 2.788 Å, b = 4.186 Å, c = 5.437 Å
α = 90.00°, β = 90.00°, γ = 90.00°
Element x y z (fractional)
1 In 0.000 0.000 0.000
2 Mo 0.500 0.500 0.266
3 Mo 0.500 0.500 0.734
4 Ir 0.000 0.000 0.500

---

Record 6
InMoIr2 at its PBEsol-relaxed geometry, computed with meta-GGA SCAN.

Properties
* energy: -211.47 eV for the cell shown
* E_form: -1.0 eV per formula unit
* space-group type: P4/mmm, No. 123
* density of states at the Fermi level: 1.81 states/eV/cell

a = 2.849 Å, b = 2.849 Å, c = 7.637 Å
α = 90.00°, β = 90.00°, γ = 90.00°
Element x y z (fractional)
1 In 0.000 0.000 0.000
2 Mo 0.000 0.000 0.500
3 Ir 0.500 0.500 0.266
4 Ir 0.500 0.500 0.734